DFT (PBE) results for a relaxed K2Si2Ag crystal.

Lattice parameters (Å, degrees): 6.8188 6.8188 6.9391 90.00 90.00 90.00
Closest atoms and distances in Å follow each position.
Space group I4/mmm (No. 139)
Unique sites:
K1 0.0000 0.5000 0.2500 x4  2 K 3.47, 4 Si 3.47, 4 Ag 3.83
Si1 0.0000 0.0000 0.1555 x4  1 Si 2.16, 1 Ag 2.39
Ag1 0.0000 0.0000 0.5000 x2  2 Si 2.39

Calculated values
Volume ... 32.26 Å³ per atom
Uncorrected formation energy ... 119.5 kJ/mol of formula units
Theoretical density ... 2.493 g/cm3
Energy relative to the lowest polymorph listed for this composition ... 160 meV per atom